(1)
MgSc2Sn after structural relaxation. Source: the Alexandria database, functional PBE-GGA.

Summary:
Formation energy ... -0.424 eV per atom
Total magnetic moment ... 0.75 Bohr magnetons per cell
E ... -20.0 eV per formula unit

Unit cell a=4.5399 b=4.5399 c=4.3312 alpha=90.00 beta=90.00 gamma=90.00
Fractional coordinates of all 4 atoms:
Mg (0.0000, 0.0000, 0.0000)
Sc (0.0000, 0.5000, 0.5000)
Sc (0.5000, 0.0000, 0.5000)
Sn (0.5000, 0.5000, 0.0000)

---

(2)
Tb12Nd5Tl3 after structural relaxation. Source: the Alexandria database, functional PBE-GGA.

Summary:
Formation energy ... 0.788 eV per atom
Total magnetic moment ... 0.00 Bohr magnetons per cell
E ... -70.7 eV per formula unit

Unit cell a=15.8109 b=15.8109 c=15.8109 alpha=109.47 beta=109.47 gamma=109.47
Fractional coordinates of all 80 atoms:
Tb (0.0724, 0.6463, 0.4143)
Tb (0.0724, 0.9262, 0.6582)
Tb (0.0738, 0.2320, 0.1463)
Tb (0.0738, 0.3418, 0.9276)
Tb (0.0857, 0.7320, 0.6582)
Tb (0.0857, 0.8537, 0.4276)
Tb (0.1463, 0.0738, 0.2320)
Tb (0.1463, 0.5724, 0.9143)
Tb (0.1582, 0.2320, 0.5857)
Tb (0.1582, 0.4262, 0.5724)
Tb (0.2320, 0.1463, 0.0738)
Tb (0.2320, 0.5857, 0.1582)
Tb (0.2680, 0.3418, 0.9143)
Tb (0.2680, 0.4262, 0.3537)
Tb (0.3418, 0.9143, 0.2680)
Tb (0.3418, 0.9276, 0.0738)
Tb (0.3537, 0.2680, 0.4262)
Tb (0.3537, 0.5857, 0.9276)
Tb (0.4143, 0.0724, 0.6463)
Tb (0.4143, 0.8418, 0.7680)
Tb (0.4262, 0.3537, 0.2680)
Tb (0.4262, 0.5724, 0.1582)
Tb (0.4276, 0.0857, 0.8537)
Tb (0.4276, 0.8418, 0.5738)
Tb (0.5724, 0.1582, 0.4262)
Tb (0.5724, 0.9143, 0.1463)
Tb (0.5738, 0.4276, 0.8418)
Tb (0.5738, 0.6463, 0.7320)
Tb (0.5857, 0.1582, 0.2320)
Tb (0.5857, 0.9276, 0.3537)
Tb (0.6463, 0.4143, 0.0724)
Tb (0.6463, 0.7320, 0.5738)
Tb (0.6582, 0.0724, 0.9262)
Tb (0.6582, 0.0857, 0.7320)
Tb (0.7320, 0.5738, 0.6463)
Tb (0.7320, 0.6582, 0.0857)
Tb (0.7680, 0.4143, 0.8418)
Tb (0.7680, 0.8537, 0.9262)
Tb (0.8418, 0.5738, 0.4276)
Tb (0.8418, 0.7680, 0.4143)
Tb (0.8537, 0.4276, 0.0857)
Tb (0.8537, 0.9262, 0.7680)
Tb (0.9143, 0.1463, 0.5724)
Tb (0.9143, 0.2680, 0.3418)
Tb (0.9262, 0.6582, 0.0724)
Tb (0.9262, 0.7680, 0.8537)
Tb (0.9276, 0.0738, 0.3418)
Tb (0.9276, 0.3537, 0.5857)
Nd (0.0000, 0.0000, 0.0000)
Nd (0.0000, 0.0000, 0.5000)
Nd (0.0000, 0.5000, 0.0000)
Nd (0.0000, 0.5000, 0.5000)
Nd (0.1250, 0.7500, 0.8750)
Nd (0.1250, 0.8750, 0.2500)
Nd (0.2500, 0.1250, 0.8750)
Nd (0.2500, 0.6250, 0.3750)
Nd (0.3750, 0.2500, 0.6250)
Nd (0.3750, 0.6250, 0.7500)
Nd (0.5000, 0.0000, 0.0000)
Nd (0.5000, 0.0000, 0.5000)
Nd (0.5000, 0.5000, 0.0000)
Nd (0.5000, 0.5000, 0.5000)
Nd (0.6250, 0.3750, 0.2500)
Nd (0.6250, 0.7500, 0.3750)
Nd (0.7500, 0.3750, 0.6250)
Nd (0.7500, 0.8750, 0.1250)
Nd (0.8750, 0.1250, 0.7500)
Nd (0.8750, 0.2500, 0.1250)
Tl (0.1250, 0.2500, 0.3750)
Tl (0.1250, 0.3750, 0.7500)
Tl (0.2500, 0.3750, 0.1250)
Tl (0.2500, 0.8750, 0.6250)
Tl (0.3750, 0.1250, 0.2500)
Tl (0.3750, 0.7500, 0.1250)
Tl (0.6250, 0.2500, 0.8750)
Tl (0.6250, 0.8750, 0.7500)
Tl (0.7500, 0.1250, 0.3750)
Tl (0.7500, 0.6250, 0.8750)
Tl (0.8750, 0.6250, 0.2500)
Tl (0.8750, 0.7500, 0.6250)

---

(3)
KHoAs2O6 after structural relaxation. Source: the Alexandria database, functional PBE-GGA.

Summary:
Uncorrected formation energy ... -1.79 eV/atom
Total magnetic moment ... 1.97 Bohr magnetons per cell
E ... -62.7 eV per formula unit

Unit cell a=6.8230 b=6.8230 c=6.8230 alpha=49.91 beta=49.91 gamma=49.91
Fractional coordinates of all 10 atoms:
K (0.0000, 0.0000, 0.0000)
Ho (0.5000, 0.5000, 0.5000)
As (0.2677, 0.2677, 0.2677)
As (0.7323, 0.7323, 0.7323)
O (0.0722, 0.5052, 0.7078)
O (0.2922, 0.9278, 0.4948)
O (0.4948, 0.2922, 0.9278)
O (0.5052, 0.7078, 0.0722)
O (0.7078, 0.0722, 0.5052)
O (0.9278, 0.4948, 0.2922)